(1)
The following is a DFT calculation (PBE-GGA) of a geometry-optimized HfTeIrN2 structure.

Lattice parameters (Å, degrees): 3.844 3.844 6.693 90.00 90.00 90.00
Space group P4/mmm (No. 123)
Asymmetric unit:
Hf: 0.000 0.000 0.000 x1
Te: 0.500 0.500 0.000 x1
Ir: 0.500 0.500 0.500 x1
N: 0.000 0.500 0.500 x2

Values from the calculation:
Formation energy (no corrections) = 0.94 eV per atom
Calculated volume = 98.9 Å³ per cell
Excess energy over the best structure of this formula in the dataset = 58 meV/atom

(2)
The following is a DFT calculation (PBE-GGA) of a geometry-optimized Pu2ScTc structure.

Lattice parameters (Å, degrees): 4.9180 4.9180 12.1327 90.00 90.00 120.00
Space group R-3m (No. 166, hexagonal axes)
Asymmetric unit:
Pu: 0.0000 0.0000 0.2493 x6
Sc: 0.0000 0.0000 0.0000 x3
Tc: 0.0000 0.0000 0.5000 x3

Values from the calculation:
Calculated volume = 254.1 Å³ per cell
Excess energy over the best structure of this formula in the dataset = 77 meV/atom
Formation energy from the elements = 0.16 eV/atom